# ZrBi2Pd

An optimized crystal structure of ZrBi2Pd (PBE, Alexandria via LeMat-Bulk).

**Size of the total moment**: 0.000 μB/f.u.
**Space-group type**: No. 123
**Crystal system**: tetragonal
**Raw total energy**: -5.650 eV per atom
**Fermi-level density of states**: 0.50 states/eV per atom

Cell and atoms, written as extended XYZ:
```
4
Lattice="4.933 0.000 0.000 0.000 4.933 0.000 0.000 0.000 3.771" Properties=species:S:1:pos:R:3 pbc="T T T"
Zr 0.000 0.000 0.000
Bi 0.000 2.467 1.885
Bi 2.467 0.000 1.885
Pd 2.467 2.467 0.000
```

=====

# Ac3PmBi4

An optimized crystal structure of Ac3PmBi4 (PBE, Alexandria via LeMat-Bulk).

**Size of the total moment**: 0.000 μB/f.u.
**Space-group type**: No. 65
**Crystal system**: orthorhombic
**Energy relative to the lowest polymorph listed for this composition**: 0.000 eV/f.u.
**Fermi-level density of states**: 0.10 states/eV per atom

Cell and atoms, written as extended XYZ:
```
8
Lattice="4.809 -6.796 0.000 4.809 6.796 0.000 0.000 0.000 4.812" Properties=species:S:1:pos:R:3 pbc="T T T"
Ac 0.000 0.000 0.000
Ac 2.405 3.398 2.406
Ac 2.405 -3.398 2.406
Pm 4.809 0.000 0.000
Bi 4.809 3.321 0.000
Bi 2.507 0.000 2.406
Bi 7.111 0.000 2.406
Bi 4.809 -3.321 0.000
```

=====

# YRu3C

An optimized crystal structure of YRu3C (PBE, Alexandria via LeMat-Bulk).

**Size of the total moment**: 0.000 μB/f.u.
**Space-group type**: No. 119
**Crystal system**: tetragonal
**Raw total energy**: -7.768 eV per atom
**Fermi-level density of states**: 0.82 states/eV per atom

Cell and atoms, written as extended XYZ:
```
10
Lattice="-2.242 2.242 10.260 2.242 -2.242 10.260 2.242 2.242 -10.260" Properties=species:S:1:pos:R:3 pbc="T T T"
Y 0.000 0.000 0.000
Y 0.000 2.242 5.130
Ru 0.000 1.090 2.603
Ru 0.000 0.000 8.101
Ru 0.000 0.000 12.420
Ru -1.152 2.242 7.657
Ru 1.152 2.242 7.657
Ru 0.000 3.394 2.603
C 2.242 0.000 2.076
C 2.242 0.000 8.184
```

=====

# PmNd2In

An optimized crystal structure of PmNd2In (PBE, Alexandria via LeMat-Bulk).

**Size of the total moment**: 0.008 μB/f.u.
**Space-group type**: No. 123
**Crystal system**: tetragonal
**Energy relative to the lowest polymorph listed for this composition**: 0.000 eV/f.u.
**Fermi-level density of states**: 1.87 states/eV per atom

Cell and atoms, written as extended XYZ:
```
4
Lattice="4.973 0.000 0.000 0.000 4.973 0.000 0.000 0.000 4.989" Properties=species:S:1:pos:R:3 pbc="T T T"
Pm 0.000 0.000 0.000
Nd 0.000 2.486 2.494
Nd 2.486 0.000 2.494
In 2.486 2.486 0.000
```

=====

# Th3USn12

An optimized crystal structure of Th3USn12 (PBE, Alexandria via LeMat-Bulk).

**Size of the total moment**: 2.447 μB/f.u.
**Space-group type**: No. 123
**Crystal system**: tetragonal
**Raw total energy**: -5.473 eV per atom
**Fermi-level density of states**: 0.86 states/eV per atom

Cell and atoms, written as extended XYZ:
```
16
Lattice="4.759 0.000 0.000 0.000 4.759 0.000 0.000 0.000 18.719" Properties=species:S:1:pos:R:3 pbc="T T T"
Th 0.000 0.000 0.000
Th 0.000 0.000 4.748
Th 0.000 0.000 13.972
U 0.000 0.000 9.360
Sn 0.000 2.380 2.372
Sn 0.000 2.380 7.109
Sn 0.000 2.380 11.611
Sn 0.000 2.380 16.347
Sn 2.380 0.000 2.372
Sn 2.380 0.000 7.109
Sn 2.380 0.000 11.611
Sn 2.380 0.000 16.347
Sn 2.380 2.380 0.000
Sn 2.380 2.380 4.735
Sn 2.380 2.380 9.360
Sn 2.380 2.380 13.985
```

=====

# CaBeP2

An optimized crystal structure of CaBeP2 (PBE, Alexandria via LeMat-Bulk).

**Size of the total moment**: 0.000 μB/f.u.
**Space-group type**: No. 166
**Crystal system**: trigonal
**Raw total energy**: -4.421 eV per atom
**Fermi-level density of states**: 0.35 states/eV per atom

Cell and atoms, written as extended XYZ:
```
4
Lattice="2.007 1.159 4.859 -2.007 1.159 4.859 0.000 -2.318 4.859" Properties=species:S:1:pos:R:3 pbc="T T T"
Ca 0.000 0.000 0.000
Be 0.000 0.000 7.289
P 0.000 0.000 2.946
P 0.000 0.000 11.632
```